No. 1
Material: Hf12Co6Pd
Method: DFT, PBE
State: optimized geometry

Cell: 7.4599 7.4599 7.4599 Å, 100.85 100.85 100.85°
Positions (direct):
Hf  0.0730  0.9235  0.3333
Hf  0.0765  0.6667  0.9270
Hf  0.1776  0.4261  0.5729
Hf  0.3333  0.0730  0.9235
Hf  0.4261  0.5729  0.1776
Hf  0.4271  0.8224  0.5739
Hf  0.5729  0.1776  0.4261
Hf  0.5739  0.4271  0.8224
Hf  0.6667  0.9270  0.0765
Hf  0.8224  0.5739  0.4271
Hf  0.9235  0.3333  0.0730
Hf  0.9270  0.0765  0.6667
Co  0.1378  0.6091  0.3024
Co  0.3024  0.1378  0.6091
Co  0.3909  0.6976  0.8622
Co  0.6091  0.3024  0.1378
Co  0.6976  0.8622  0.3909
Co  0.8622  0.3909  0.6976
Pd  0.0000  0.0000  0.0000

Computed properties:
ΔH_f (0 K): -0.05 eV per atom
spin magnetization: 0.0 μB/f.u.
excess energy over the best structure of this formula in the dataset: 0.2687 eV per atom
space-group type: R-3, No. 148
DOS at the Fermi energy: 16.97 states/eV/cell
final energy: -8.85 eV per atom



No. 2
Material: Hf8Co2Pd
Method: DFT, PBE
State: optimized geometry

Cell: 7.3314 7.3314 5.5750 Å, 90.38 90.38 46.64°
Positions (direct):
Hf  0.0923  0.0923  0.3578
Hf  0.1395  0.6444  0.1582
Hf  0.2921  0.2921  0.6166
Hf  0.3556  0.8605  0.8418
Hf  0.6444  0.1395  0.1582
Hf  0.7079  0.7079  0.3834
Hf  0.8605  0.3556  0.8418
Hf  0.9077  0.9077  0.6422
Co  0.2360  0.2360  0.0872
Co  0.7640  0.7640  0.9128
Pd  0.5000  0.5000  0.5000

Computed properties:
ΔH_f (0 K): -0.17 eV per atom
spin magnetization: 0.0 μB/f.u.
space-group type: C2/m, No. 12
DOS at the Fermi energy: 11.56 states/eV/cell
final energy: -9.17 eV per atom



No. 3
Material: Hf6CoPd
Method: DFT, PBE
State: optimized geometry

Cell: 5.9747 10.7160 5.9332 Å, 90.00 118.19 90.00°
Positions (direct):
Hf  0.2352  0.0000  0.2650
Hf  0.2349  0.2033  0.7436
Hf  0.2349  0.7967  0.7436
Hf  0.2651  0.2967  0.2564
Hf  0.2648  0.5000  0.7350
Hf  0.2651  0.7033  0.2564
Hf  0.7349  0.2967  0.7436
Hf  0.7352  0.5000  0.2650
Hf  0.7349  0.7033  0.7436
Hf  0.7648  0.0000  0.7350
Hf  0.7651  0.2033  0.2564
Hf  0.7651  0.7967  0.2564
Co  0.0000  0.0000  0.5000
Co  0.5000  0.5000  0.5000
Pd  0.0000  0.5000  0.0000
Pd  0.5000  0.0000  0.0000

Computed properties:
ΔH_f (0 K): 0.12 eV per atom
spin magnetization: 0.0 μB/f.u.
space-group type: C2/m, No. 12
DOS at the Fermi energy: 19.83 states/eV/cell
final energy: -8.88 eV per atom



No. 4
Material: Hf5Co4Pd
Method: DFT, PBE
State: optimized geometry

Cell: 3.1589 3.1589 16.2473 Å, 90.00 90.00 90.00°
Positions (direct):
Hf  0.0000  0.0000  0.0000
Hf  0.0000  0.0000  0.1938
Hf  0.0000  0.0000  0.3867
Hf  0.0000  0.0000  0.6133
Hf  0.0000  0.0000  0.8062
Co  0.5000  0.5000  0.0969
Co  0.5000  0.5000  0.2904
Co  0.5000  0.5000  0.7096
Co  0.5000  0.5000  0.9031
Pd  0.5000  0.5000  0.5000

Computed properties:
ΔH_f (0 K): -0.44 eV per atom
spin magnetization: 2.2 μB/f.u.
space-group type: P4/mmm, No. 123
DOS at the Fermi energy: 9.71 states/eV/cell
final energy: -8.78 eV per atom



> The lowest DOS at the Fermi energy belongs to which entry?

Hf5Co4Pd